Entry 1:
First-principles (SCAN) data for a crystal of HfNbRu3 relaxed with PBEsol, as listed in the Alexandria database.

## Properties
ρ ... 9.88 g/cm³
Calculated formation energy ... 5.37 eV per formula unit

abc: 4.5884 4.5884 4.5884
angles: 90.00 90.00 90.00
Positions (direct):
Ru 0.0000 0.5000 0.0000
Ru 0.0000 0.0000 0.5000
Ru 0.5000 0.0000 0.0000
Nb 0.0000 0.0000 0.0000
Hf 0.5000 0.5000 0.5000

---

Entry 2:
First-principles (SCAN) data for a crystal of LiAlTl2O relaxed with PBEsol, as listed in the Alexandria database.

## Properties
ρ ... 7.88 g/cm³
Formation energy without anion corrections ... -0.2752 eV per atom

abc: 3.3287 5.3887 5.3887
angles: 90.00 90.00 90.00
Positions (direct):
Tl 0.0000 0.0000 0.5000
Tl 0.0000 0.5000 0.0000
Al 0.5000 0.5000 0.5000
O 0.5000 0.0000 0.0000
Li 0.0000 0.0000 0.0000

---

Entry 3:
First-principles (SCAN) data for a crystal of LiAlCd relaxed with PBEsol, as listed in the Alexandria database.

## Properties
ρ ... 4.56 g/cm³
Calculated formation energy ... -0.31 eV per formula unit
Polymorph energy (0 for the lowest one) ... 0.0270 eV per atom

abc: 2.8969 2.8969 6.6691
angles: 102.54 102.54 90.00
Positions (direct):
Cd 0.6689 0.6689 0.3378
Al 0.9951 0.9951 0.9901
Li 0.3361 0.3361 0.6721

---

Entry 4:
First-principles (SCAN) data for a crystal of Fe12PbO19 relaxed with PBEsol, as listed in the Alexandria database.

## Properties
ρ ... 6.62 g/cm³
Formation energy without anion corrections ... -1.5325 eV per atom

abc: 5.5929 5.5929 21.8807
angles: 90.00 90.00 120.00
Last column: magnetic moment on the atom in μB.
Positions (direct):
Fe 0.6728 0.8364 0.6102  1.02
Fe 0.3333 0.6667 0.3074  1.04
Fe 0.3272 0.1636 0.3898  1.02
Fe 0.1636 0.3272 0.8898  1.02
Fe 0.1636 0.8364 0.6102  1.02
Fe 0.3333 0.6667 0.0251  3.86
Fe 0.8364 0.6728 0.3898  1.02
Fe 0.6667 0.3333 0.5251  3.86
Fe 0.8364 0.1636 0.3898  1.02
Fe 0.6728 0.8364 0.8898  1.02
Fe 0.6667 0.3333 0.6926  1.04
Fe 0.3333 0.6667 0.1926  1.04
Fe 0.8364 0.1636 0.1102  1.02
Fe 0.0000 0.0000 0.5000  0.82
Fe 0.3333 0.6667 0.4749  3.86
Fe 0.6667 0.3333 0.9749  3.86
Fe 0.1636 0.3272 0.6102  1.02
Fe 0.1636 0.8364 0.8898  1.02
Fe 0.3272 0.1636 0.1102  1.02
Fe 0.0000 0.0000 0.2500  -1.01
Fe 0.8364 0.6728 0.1102  1.02
Fe 0.6667 0.3333 0.8074  1.04
Fe 0.0000 0.0000 0.0000  0.82
Fe 0.0000 0.0000 0.7500  -1.01
Pb 0.3333 0.6667 0.7500  0.03
Pb 0.6667 0.3333 0.2500  0.03
O 0.1511 0.8489 0.4444  0.14
O 0.9926 0.4963 0.3477  0.11
O 0.5037 0.0074 0.1523  0.11
O 0.1511 0.3022 0.4444  0.14
O 0.3333 0.6667 0.9387  0.10
O 0.4963 0.9926 0.6523  0.11
O 0.3728 0.1864 0.7500  0.03
O 0.5037 0.4963 0.3477  0.11
O 0.6272 0.8136 0.2500  0.03
O 0.6978 0.8489 0.0556  0.14
O 0.6978 0.8489 0.4444  0.14
O 0.3022 0.1511 0.9444  0.14
O 0.8489 0.1511 0.9444  0.14
O 0.4963 0.5037 0.6523  0.11
O 0.6667 0.3333 0.4387  0.10
O 0.8136 0.1864 0.7500  0.03
O 0.0000 0.0000 0.1583  0.02
O 0.8136 0.6272 0.7500  0.03
O 0.0000 0.0000 0.6583  0.02
O 0.1511 0.3022 0.0556  0.14
O 0.4963 0.5037 0.8477  0.11
O 0.9926 0.4963 0.1523  0.11
O 0.1864 0.3728 0.2500  0.03
O 0.0000 0.0000 0.3417  0.02
O 0.3333 0.6667 0.5613  0.10
O 0.6667 0.3333 0.0613  0.10
O 0.4963 0.9926 0.8477  0.11
O 0.5037 0.0074 0.3477  0.11
O 0.1864 0.8136 0.2500  0.03
O 0.0074 0.5037 0.8477  0.11
O 0.3022 0.1511 0.5556  0.14
O 0.5037 0.4963 0.1523  0.11
O 0.8489 0.6978 0.5556  0.14
O 0.8489 0.1511 0.5556  0.14
O 0.8489 0.6978 0.9444  0.14
O 0.0000 0.0000 0.8417  0.02
O 0.0074 0.5037 0.6523  0.11
O 0.1511 0.8489 0.0556  0.14

---

Entry 5:
First-principles (SCAN) data for a crystal of KCuBi3 relaxed with PBEsol, as listed in the Alexandria database.

## Properties
ρ ... 6.29 g/cm³
Calculated formation energy ... 7.96 eV per formula unit

abc: 5.7742 5.7742 5.7742
angles: 90.00 90.00 90.00
Positions (direct):
K 0.0000 0.0000 0.0000
Bi 0.0000 0.5000 0.0000
Bi 0.0000 0.0000 0.5000
Bi 0.5000 0.0000 0.0000
Cu 0.5000 0.5000 0.5000

---

Entry 6:
First-principles (SCAN) data for a crystal of Y3Ni relaxed with PBEsol, as listed in the Alexandria database.

## Properties
ρ ... 3.80 g/cm³
Calculated formation energy ... 0.91 eV per formula unit

abc: 5.2208 5.2208 5.2208
angles: 90.00 90.00 90.00
Positions (direct):
Ni 0.0000 0.0000 0.0000
Y 0.5000 0.0000 0.0000
Y 0.0000 0.5000 0.0000
Y 0.0000 0.0000 0.5000